Entry from Alexandria via LeMat-Bulk: a geometry-optimized IrRu structure (PBE-GGA).

The relative energy among the computed polymorphs comes out at 1.1809 eV/atom. The calculated formation energy comes out at 1.126 eV per atom. The theoretical density comes out at 10.94 g/cm³.

Unit cell a=6.956 b=6.956 c=3.681 alpha=90.00 beta=90.00 gamma=90.00
Space group P4_2/mnm (No. 136)
Asymmetric unit:
Ir (0.177, 0.177, 0.000) (multiplicity 4)
Ru (0.168, 0.832, 0.000) (multiplicity 4)